No. 1
Material: Na8Tl2Hg
Method: DFT, PBE
State: relaxed

E: -1.4790 eV/atom
Energy relative to the lowest polymorph listed for this composition: 41.3 meV per atom

Unit cell a=9.0380 b=15.1657 c=5.8383 alpha=90.00 beta=117.92 gamma=90.00
Space group C2/m (No. 12)
Asymmetric unit:
Na: 0.0000 0.2107 0.0000 [4 per cell]
Na: 0.1191 0.5000 0.8061 [4 per cell]
Na: 0.2099 0.1178 0.6284 [8 per cell]
Tl: 0.0000 0.3091 0.5000 [4 per cell]
Hg: 0.0000 0.0000 0.0000 [2 per cell]

***

No. 2
Material: NaTlHg2
Method: DFT, PBE
State: relaxed

E: -1.2207 eV/atom

Unit cell a=4.8977 b=4.8977 c=4.4555 alpha=90.00 beta=90.00 gamma=90.00
Space group P4/mmm (No. 123)
Asymmetric unit:
Na: 0.0000 0.0000 0.0000 [1 per cell]
Tl: 0.5000 0.5000 0.0000 [1 per cell]
Hg: 0.0000 0.5000 0.5000 [2 per cell]

***

No. 3
Material: Na4TlHg2
Method: DFT, PBE
State: relaxed

E: -1.1603 eV/atom
Energy relative to the lowest polymorph listed for this composition: 178.2 meV per atom

Unit cell a=5.8828 b=5.8828 c=15.2208 alpha=90.00 beta=90.00 gamma=90.00
Space group I4/mmm (No. 139)
Asymmetric unit:
Na: 0.0000 0.0000 0.2018 [4 per cell]
Na: 0.0000 0.5000 0.0000 [4 per cell]
Tl: 0.0000 0.0000 0.0000 [2 per cell]
Hg: 0.0000 0.0000 0.4002 [4 per cell]

***

Number 1: formation enthalpy at 0 K -0.062 eV/atom. Number 2: formation enthalpy at 0 K -0.148 eV/atom. Number 3: formation enthalpy at 0 K 0.018 eV/atom.